i:
The following is a DFT calculation (GGA-PBE) of a relaxed structure of In2AgI8.

Cell and atoms, written as CIF:
```
data_In2AgI8
_chemical_formula_sum 'In4 Ag2 I16'
_space_group_name_H-M_alt 'C 1 2/m 1'
_space_group_IT_number 12
_cell_length_a 13.519
_cell_length_b 10.878
_cell_length_c 7.655
_cell_angle_alpha 90.00
_cell_angle_beta 91.36
_cell_angle_gamma 90.00
loop_
_space_group_symop_operation_xyz
'x,y,z'
'-x,-y,-z'
'-x,y,-z'
'x,-y,z'
'x+1/2,y+1/2,z'
'-x+1/2,-y+1/2,-z'
'-x+1/2,y+1/2,-z'
'x+1/2,-y+1/2,z'
loop_
_atom_site_label
_atom_site_type_symbol
_atom_site_fract_x
_atom_site_fract_y
_atom_site_fract_z
In1 In 0.228 0.000 0.336
Ag1 Ag 0.000 0.000 0.000
I1 I 0.087 0.500 0.786
I2 I 0.108 0.186 0.183
I3 I 0.217 0.000 0.692
```


ii:
The following is a DFT calculation (GGA-PBE) of a relaxed structure of In2AgI8.

Cell and atoms, written as CIF:
```
data_In2AgI8
_chemical_formula_sum 'In2 Ag1 I8'
_space_group_name_H-M_alt 'P -3 m 1'
_space_group_IT_number 164
_space_group_name_Hall '-P 3 2"'
_cell_length_a 8.5766
_cell_length_b 8.5766
_cell_length_c 8.4390
_cell_angle_alpha 90.00
_cell_angle_beta 90.00
_cell_angle_gamma 120.00
loop_
_atom_site_label
_atom_site_type_symbol
_atom_site_fract_x
_atom_site_fract_y
_atom_site_fract_z
In1 In 0.3333 0.6667 0.1781
Ag1 Ag 0.0000 0.0000 0.5000
I1 I 0.1526 0.3053 0.2611
I2 I 0.3333 0.6667 0.8508
```


Verdict on stability: ii comes out at the bottom.


i:
The following is a DFT calculation (GGA-PBE) of a relaxed structure of InAgI2N.

Cell and atoms, written as CIF:
```
data_InAgI2N
_chemical_formula_sum 'In1 Ag1 I2 N1'
_space_group_name_H-M_alt 'P 4/m m m'
_space_group_IT_number 123
_space_group_name_Hall '-P 4 2'
_cell_length_a 6.078
_cell_length_b 6.078
_cell_length_c 4.079
_cell_angle_alpha 90.00
_cell_angle_beta 90.00
_cell_angle_gamma 90.00
loop_
_atom_site_label
_atom_site_type_symbol
_atom_site_fract_x
_atom_site_fract_y
_atom_site_fract_z
In1 In 0.000 0.000 0.000
Ag1 Ag 0.500 0.500 0.500
I1 I 0.000 0.500 0.000
N1 N 0.000 0.000 0.500
```


ii:
The following is a DFT calculation (GGA-PBE) of a relaxed structure of InAgI2N.

Cell and atoms, written as CIF:
```
data_InAgI2N
_chemical_formula_sum 'In1 Ag1 I2 N1'
_space_group_name_H-M_alt 'P 4/m m m'
_space_group_IT_number 123
_space_group_name_Hall '-P 4 2'
_cell_length_a 6.053
_cell_length_b 6.053
_cell_length_c 5.480
_cell_angle_alpha 90.00
_cell_angle_beta 90.00
_cell_angle_gamma 90.00
loop_
_atom_site_label
_atom_site_type_symbol
_atom_site_fract_x
_atom_site_fract_y
_atom_site_fract_z
In1 In 0.000 0.000 0.000
Ag1 Ag 0.000 0.000 0.500
I1 I 0.000 0.500 0.000
N1 N 0.500 0.500 0.500
```


iii:
The following is a DFT calculation (GGA-PBE) of a relaxed structure of InAgI2N.

Cell and atoms, written as CIF:
```
data_InAgI2N
_chemical_formula_sum 'In1 Ag1 I2 N1'
_space_group_name_H-M_alt 'P 4/m m m'
_space_group_IT_number 123
_space_group_name_Hall '-P 4 2'
_cell_length_a 6.003
_cell_length_b 6.003
_cell_length_c 4.082
_cell_angle_alpha 90.00
_cell_angle_beta 90.00
_cell_angle_gamma 90.00
loop_
_atom_site_label
_atom_site_type_symbol
_atom_site_fract_x
_atom_site_fract_y
_atom_site_fract_z
In1 In 0.000 0.000 0.000
Ag1 Ag 0.500 0.500 0.500
I1 I 0.000 0.500 0.500
N1 N 0.500 0.500 0.000
```


Verdict on stability: ii comes out at the bottom.


i:
The following is a DFT calculation (GGA-PBE) of a relaxed structure of InAgI2O.

Cell and atoms, written as CIF:
```
data_InAgI2O
_chemical_formula_sum 'In1 Ag1 I2 O1'
_space_group_name_H-M_alt 'P 4/m m m'
_space_group_IT_number 123
_space_group_name_Hall '-P 4 2'
_cell_length_a 6.137
_cell_length_b 6.137
_cell_length_c 3.961
_cell_angle_alpha 90.00
_cell_angle_beta 90.00
_cell_angle_gamma 90.00
loop_
_atom_site_label
_atom_site_type_symbol
_atom_site_fract_x
_atom_site_fract_y
_atom_site_fract_z
In1 In 0.000 0.000 0.000
Ag1 Ag 0.500 0.500 0.500
I1 I 0.000 0.500 0.000
O1 O 0.000 0.000 0.500
```


ii:
The following is a DFT calculation (GGA-PBE) of a relaxed structure of InAgI2O.

Cell and atoms, written as CIF:
```
data_InAgI2O
_chemical_formula_sum 'In1 Ag1 I2 O1'
_space_group_name_H-M_alt 'P 4/m m m'
_space_group_IT_number 123
_space_group_name_Hall '-P 4 2'
_cell_length_a 5.787
_cell_length_b 5.787
_cell_length_c 4.081
_cell_angle_alpha 90.00
_cell_angle_beta 90.00
_cell_angle_gamma 90.00
loop_
_atom_site_label
_atom_site_type_symbol
_atom_site_fract_x
_atom_site_fract_y
_atom_site_fract_z
In1 In 0.000 0.000 0.000
Ag1 Ag 0.500 0.500 0.500
I1 I 0.000 0.500 0.500
O1 O 0.500 0.500 0.000
```


Verdict on stability: ii comes out at the bottom.


i:
The following is a DFT calculation (GGA-PBE) of a relaxed structure of AgIr2I.

Cell and atoms, written as CIF:
```
data_AgIr2I
_chemical_formula_sum 'Ag4 Ir8 I4'
_space_group_name_H-M_alt 'F m -3 m'
_space_group_IT_number 225
_space_group_name_Hall '-F 4 2 3'
_cell_length_a 6.561
_cell_length_b 6.561
_cell_length_c 6.561
_cell_angle_alpha 90.00
_cell_angle_beta 90.00
_cell_angle_gamma 90.00
loop_
_atom_site_label
_atom_site_type_symbol
_atom_site_fract_x
_atom_site_fract_y
_atom_site_fract_z
Ag1 Ag 0.000 0.000 0.000
Ir1 Ir 0.250 0.250 0.250
I1 I 0.000 0.000 0.500
```


ii:
The following is a DFT calculation (GGA-PBE) of a relaxed structure of AgIr2I.

Cell and atoms, written as CIF:
```
data_AgIr2I
_chemical_formula_sum 'Ag4 Ir8 I4'
_space_group_name_H-M_alt 'I -4 2 d'
_space_group_IT_number 122
_space_group_name_Hall 'I -4 2bw'
_cell_length_a 7.483
_cell_length_b 7.483
_cell_length_c 5.544
_cell_angle_alpha 90.00
_cell_angle_beta 90.00
_cell_angle_gamma 90.00
loop_
_atom_site_label
_atom_site_type_symbol
_atom_site_fract_x
_atom_site_fract_y
_atom_site_fract_z
Ag1 Ag 0.000 0.000 0.000
Ir1 Ir 0.220 0.250 0.625
I1 I 0.000 0.000 0.500
```


Verdict on stability: ii comes out at the bottom.